No. 1
An optimized crystal structure of Cd4PSeCl2. Source: Alexandria via LeMat-Bulk, functional PBE.

Unit cell a=8.1776 b=8.1776 c=8.1108 alpha=119.64 beta=119.64 gamma=90.89
With the nearest neighbours (Å) after each atom.
Fractional coordinates of all 16 atoms:
Cd 0.2157 0.2585 0.4865  1 P 2.67, 2 Se 2.81, 2 Cl 2.95-2.97
Cd 0.2420 0.7566 0.9668  2 P 2.69-2.70, 1 Se 2.84, 1 Cl 3.01
Cd 0.2434 0.7580 0.5332  2 P 2.69-2.70, 1 Se 2.84, 1 Cl 3.01
Cd 0.2585 0.2157 0.9865  1 P 2.67, 2 Se 2.81, 2 Cl 2.95-2.97
Cd 0.7415 0.7843 0.0135  1 P 2.67, 2 Se 2.81, 2 Cl 2.95-2.97
Cd 0.7566 0.2420 0.4668  2 P 2.69-2.70, 1 Se 2.84, 1 Cl 3.01
Cd 0.7580 0.2434 0.0332  2 P 2.69-2.70, 1 Se 2.84, 1 Cl 3.01
Cd 0.7843 0.7415 0.5135  1 P 2.67, 2 Se 2.81, 2 Cl 2.95-2.97
P 0.0000 0.5000 0.5000  6 Cd 2.67-2.70
P 0.5000 0.0000 0.0000  6 Cd 2.67-2.70
Se 0.0000 0.0000 0.0000  6 Cd 2.81-2.84
Se 0.0000 0.0000 0.5000  6 Cd 2.81-2.84
Cl 0.0000 0.5000 0.0000  6 Cd 3.06-3.16
Cl 0.5000 0.0000 0.5000  6 Cd 3.06-3.16
Cl 0.5000 0.5000 0.0000  6 Cd 2.95-3.01
Cl 0.5000 0.5000 0.5000  6 Cd 2.95-3.01

Summary:
As for the total energy: -2.46 eV/atom. For the energy relative to the elements, uncorrected, the calculation gives -432 meV/atom.

---

No. 2
An optimized crystal structure of CdPSeCl2. Source: Alexandria via LeMat-Bulk, functional PBE.

Unit cell a=4.4587 b=4.7602 c=7.4982 alpha=90.00 beta=90.00 gamma=90.00
With the nearest neighbours (Å) after each atom.
Fractional coordinates of all 5 atoms:
Cd 0.0000 0.0000 0.0000  4 Cl 3.26
P 0.5000 0.0000 0.5000  2 Cl 2.23
Se 0.0000 0.5000 0.5000  2 Cl 2.38
Cl 0.0000 0.0000 0.5000  2 P 2.23, 2 Se 2.38
Cl 0.5000 0.5000 0.0000  4 Cd 3.26

Summary:
As for the total energy: -1.97 eV/atom. For the energy relative to the elements, uncorrected, the calculation gives 733 meV/atom. As for the relative energy among the computed polymorphs: 402 meV per atom.

---

No. 3
An optimized crystal structure of Cd4PSe2Cl. Source: Alexandria via LeMat-Bulk, functional PBE.

Unit cell a=8.0432 b=8.0432 c=8.0432 alpha=120.46 beta=118.93 gamma=90.54
With the nearest neighbours (Å) after each atom.
Fractional coordinates of all 16 atoms:
Cd 0.2601 0.2457 0.4856  1 P 2.72, 3 Se 2.78-2.95, 2 Cl 2.94
Cd 0.2601 0.7744 0.0144  1 P 2.72, 3 Se 2.78-2.95, 2 Cl 2.94
Cd 0.2607 0.2455 0.0153  2 P 2.77, 3 Se 2.78-2.95, 1 Cl 2.88
Cd 0.2698 0.7545 0.5153  2 P 2.77, 3 Se 2.78-2.95, 1 Cl 2.88
Cd 0.7302 0.2455 0.4847  2 P 2.77, 3 Se 2.78-2.95, 1 Cl 2.88
Cd 0.7393 0.7545 0.9847  2 P 2.77, 3 Se 2.78-2.95, 1 Cl 2.88
Cd 0.7399 0.2256 0.9856  1 P 2.72, 3 Se 2.78-2.95, 2 Cl 2.94
Cd 0.7399 0.7543 0.5144  1 P 2.72, 3 Se 2.78-2.95, 2 Cl 2.94
P 0.5000 0.0000 0.0000  6 Cd 2.72-2.77
P 0.5000 0.5000 0.5000  6 Cd 2.72-2.77
Se 0.0000 0.0000 0.0000  6 Cd 2.78
Se 0.0000 0.0000 0.5000  6 Cd 2.95
Se 0.0000 0.5000 0.0000  6 Cd 2.95
Se 0.5000 0.0000 0.5000  6 Cd 2.78
Cl 0.0000 0.5000 0.5000  6 Cd 2.88-2.94
Cl 0.5000 0.5000 0.0000  6 Cd 2.88-2.94

Summary:
As for the total energy: -2.61 eV/atom. For the energy relative to the elements, uncorrected, the calculation gives -378 meV/atom.

---

No. 4
An optimized crystal structure of CdSiPCl2. Source: Alexandria via LeMat-Bulk, functional PBE.

Unit cell a=4.6691 b=4.6691 c=4.9377 alpha=90.00 beta=90.00 gamma=90.00
With the nearest neighbours (Å) after each atom.
Fractional coordinates of all 5 atoms:
Cd 0.0000 0.0000 0.0000  4 P 3.30, 8 Cl 3.40
Si 0.5000 0.5000 0.5000  4 Cl 2.33, 2 P 2.47
P 0.5000 0.5000 0.0000  2 Si 2.47
Cl 0.0000 0.5000 0.5000  2 Si 2.33
Cl 0.5000 0.0000 0.5000  2 Si 2.33

Summary:
As for the total energy: -3.08 eV/atom. For the energy relative to the elements, uncorrected, the calculation gives 7 meV/atom. As for the relative energy among the computed polymorphs: 0 meV per atom.

---

No. 5
An optimized crystal structure of CdSiPCl2. Source: Alexandria via LeMat-Bulk, functional PBE.

Unit cell a=4.9715 b=4.9715 c=5.3280 alpha=90.00 beta=90.00 gamma=90.00
With the nearest neighbours (Å) after each atom.
Fractional coordinates of all 5 atoms:
Cd 0.0000 0.0000 0.0000  4 Cl 2.49, 2 P 2.66
Si 0.5000 0.5000 0.5000  4 P 3.52, 8 Cl 3.64
P 0.0000 0.0000 0.5000  2 Cd 2.66
Cl 0.0000 0.5000 0.0000  2 Cd 2.49
Cl 0.5000 0.0000 0.0000  2 Cd 2.49

Summary:
As for the total energy: -2.56 eV/atom. For the energy relative to the elements, uncorrected, the calculation gives 529 meV/atom. As for the relative energy among the computed polymorphs: 522 meV per atom.

---

No. 6
An optimized crystal structure of CdSnPCl2. Source: Alexandria via LeMat-Bulk, functional PBE.

Unit cell a=5.1622 b=5.1622 c=5.3106 alpha=90.00 beta=90.00 gamma=90.00
With the nearest neighbours (Å) after each atom.
Fractional coordinates of all 5 atoms:
Cd 0.0000 0.0000 0.0000  4 P 3.65, 8 Cl 3.70
Sn 0.5000 0.5000 0.5000  4 Cl 2.58, 2 P 2.66
P 0.5000 0.5000 0.0000  2 Sn 2.66
Cl 0.0000 0.5000 0.5000  2 Sn 2.58
Cl 0.5000 0.0000 0.5000  2 Sn 2.58

Summary:
As for the total energy: -2.83 eV/atom. For the energy relative to the elements, uncorrected, the calculation gives -25 meV/atom. As for the relative energy among the computed polymorphs: 0 meV per atom.

---

No. 7
An optimized crystal structure of CdSnPCl2. Source: Alexandria via LeMat-Bulk, functional PBE.

Unit cell a=5.0308 b=5.0308 c=5.3229 alpha=90.00 beta=90.00 gamma=90.00
With the nearest neighbours (Å) after each atom.
Fractional coordinates of all 5 atoms:
Cd 0.0000 0.0000 0.0000  4 Cl 2.52, 2 P 2.66
Sn 0.5000 0.5000 0.5000  4 P 3.56, 8 Cl 3.66
P 0.0000 0.0000 0.5000  2 Cd 2.66
Cl 0.0000 0.5000 0.0000  2 Cd 2.52
Cl 0.5000 0.0000 0.0000  2 Cd 2.52

Summary:
As for the total energy: -2.79 eV/atom. For the energy relative to the elements, uncorrected, the calculation gives 15 meV/atom. As for the relative energy among the computed polymorphs: 39 meV per atom.

---

No. 8
An optimized crystal structure of CdSnP2Cl. Source: Alexandria via LeMat-Bulk, functional PBE.

Unit cell a=5.1196 b=5.1196 c=5.1319 alpha=90.00 beta=90.00 gamma=90.00
With the nearest neighbours (Å) after each atom.
Fractional coordinates of all 5 atoms:
Cd 0.0000 0.0000 0.0000  4 Cl 3.62, 8 P 3.62
Sn 0.5000 0.5000 0.5000  4 P 2.56, 2 Cl 2.57
P 0.0000 0.5000 0.5000  2 Sn 2.56
P 0.5000 0.0000 0.5000  2 Sn 2.56
Cl 0.5000 0.5000 0.0000  2 Sn 2.57

Summary:
As for the total energy: -2.96 eV/atom. For the energy relative to the elements, uncorrected, the calculation gives 560 meV/atom. As for the relative energy among the computed polymorphs: 0 meV per atom.

---

Number 1: volume 385 Å³/cell. Number 2: volume 159 Å³/cell. Number 3: volume 370 Å³/cell. Number 4: volume 108 Å³/cell. Number 5: volume 132 Å³/cell. Number 6: volume 142 Å³/cell. Number 7: volume 135 Å³/cell. Number 8: volume 135 Å³/cell.